Entry 1:
# Rb5CdHg6

A relaxed Rb5CdHg6 crystal (PBE, Alexandria).

Values from the calculation:
- energy (Ry/atom) = -0.0590
- space-group type = C2/m (12)

abc: 6.8635 9.0910 10.2390
angles: 109.32 100.68 109.72
Element x y z (fractional)
Hg 0.1134 0.5114 0.3816
Hg 0.2682 0.8702 0.3816
Hg 0.3991 0.3098 0.0000
Hg 0.6009 0.6902 0.0000
Hg 0.7318 0.1298 0.6184
Hg 0.8866 0.4886 0.6184
Rb 0.3848 0.8848 0.7695
Rb 0.6928 0.6928 0.3855
Rb 0.0000 0.5000 0.0000
Rb 0.3072 0.3072 0.6145
Rb 0.6152 0.1152 0.2305
Cd 0.0000 0.0000 0.0000

***

Entry 2:
# Rb3Cd3Hg2

A relaxed Rb3Cd3Hg2 crystal (PBE, Alexandria).

Values from the calculation:
- energy (Ry/atom) = -0.0672
- space-group type = Cmcm (63)

abc: 5.4014 6.8974 17.8672
angles: 90.00 90.00 113.05
Element x y z (fractional)
Rb 0.9118 0.8237 0.3921
Rb 0.0882 0.1763 0.8921
Rb 0.9118 0.8237 0.1079
Rb 0.0882 0.1763 0.6079
Rb 0.6137 0.2273 0.2500
Rb 0.3863 0.7727 0.7500
Cd 0.6198 0.2396 0.4662
Cd 0.3802 0.7604 0.9662
Cd 0.6198 0.2396 0.0338
Cd 0.3802 0.7604 0.5338
Cd 0.3143 0.6286 0.2500
Cd 0.6857 0.3714 0.7500
Hg 0.7913 0.5825 0.9048
Hg 0.2087 0.4175 0.4048
Hg 0.7913 0.5825 0.5952
Hg 0.2087 0.4175 0.0952

***

Entry 3:
# Rb8CdHg2

A relaxed Rb8CdHg2 crystal (PBE, Alexandria).

Values from the calculation:
- energy relative to the lowest polymorph listed for this composition (meV per atom) = 25
- energy (Ry/atom) = -0.0659
- space-group type = Immm (71)

abc: 6.2048 11.1225 11.4934
angles: 118.94 105.66 90.00
Element x y z (fractional)
Rb 0.6626 0.8762 0.3252
Rb 0.3374 0.5510 0.6748
Rb 0.1376 0.1376 0.2751
Rb 0.0000 0.3168 0.0000
Rb 0.8624 0.8624 0.7249
Rb 0.6626 0.4490 0.3252
Rb 0.3374 0.1238 0.6748
Rb 0.0000 0.6832 0.0000
Cd 0.5000 0.0000 0.0000
Hg 0.1941 0.6941 0.3882
Hg 0.8059 0.3059 0.6118

***

Entry 4:
# RbCd6Hg2

A relaxed RbCd6Hg2 crystal (PBE, Alexandria).

Values from the calculation:
- energy relative to the lowest polymorph listed for this composition (meV per atom) = 0
- energy (Ry/atom) = -0.0631
- space-group type = P4/mmm (123)

abc: 4.7471 4.7471 10.7572
angles: 90.00 90.00 90.00
Element x y z (fractional)
Rb 0.0000 0.0000 0.0000
Cd 0.0000 0.5000 0.3105
Cd 0.5000 0.0000 0.3105
Cd 0.0000 0.5000 0.6895
Cd 0.5000 0.0000 0.6895
Cd 0.5000 0.5000 0.5000
Cd 0.0000 0.0000 0.5000
Hg 0.5000 0.5000 0.1401
Hg 0.5000 0.5000 0.8599

***

Entry 5:
# RbCd5Hg7

A relaxed RbCd5Hg7 crystal (PBE, Alexandria).

Values from the calculation:
- energy (Ry/atom) = -0.0476
- space-group type = Cm (8)

abc: 6.1370 8.1729 8.1728
angles: 84.05 67.82 67.82
Element x y z (fractional)
Rb 0.9945 0.0054 0.0054
Cd 0.5006 0.9990 0.4983
Cd 0.0030 0.9981 0.4991
Cd 0.5006 0.4983 0.9990
Cd 0.0031 0.4991 0.9981
Cd 0.7443 0.7586 0.7586
Hg 0.6302 0.3635 0.3635
Hg 0.3473 0.6576 0.6576
Hg 0.0005 0.3453 0.6540
Hg 0.0006 0.6540 0.3453
Hg 0.2661 0.2292 0.2291
Hg 0.5046 0.7993 0.1925
Hg 0.5046 0.1926 0.7993

***

Entry 6:
# RbCd4Hg6

A relaxed RbCd4Hg6 crystal (PBE, Alexandria).

Values from the calculation:
- energy relative to the lowest polymorph listed for this composition (meV per atom) = 45
- energy (Ry/atom) = -0.0449
- space-group type = Cm (8)

abc: 7.9570 7.9564 7.7185
angles: 59.17 59.17 90.35
Element x y z (fractional)
Rb 0.9978 0.9978 0.0016
Cd 0.5590 0.2501 0.1855
Cd 0.7458 0.7458 0.8196
Cd 0.2500 0.5590 0.1855
Cd 0.4411 0.4411 0.8148
Hg 0.4835 0.8985 0.6284
Hg 0.8984 0.4835 0.6283
Hg 0.5158 0.5158 0.3781
Hg 0.0027 0.5014 0.9939
Hg 0.1046 0.1046 0.3703
Hg 0.5014 0.0027 0.9939

***

Entry 7:
# Rb2Cd2Hg

A relaxed Rb2Cd2Hg crystal (PBE, Alexandria).

Values from the calculation:
- energy relative to the lowest polymorph listed for this composition (meV per atom) = 10
- energy (Ry/atom) = -0.0674
- space-group type = C2/c (15)

abc: 7.1926 6.9612 9.4368
angles: 99.82 90.00 121.11
Element x y z (fractional)
Rb 0.5249 0.2981 0.1491
Rb 0.2268 0.7019 0.3509
Rb 0.4751 0.7019 0.8509
Rb 0.7732 0.2981 0.6491
Cd 0.7432 0.7423 0.4976
Cd 0.0009 0.2577 0.0024
Cd 0.2568 0.2577 0.5024
Cd 0.9991 0.7423 0.9976
Hg 0.8724 0.0000 0.2500
Hg 0.1276 0.0000 0.7500

***

Entry 8:
# Rb4CdHg3

A relaxed Rb4CdHg3 crystal (PBE, Alexandria).

Values from the calculation:
- energy (Ry/atom) = -0.0661
- space-group type = Pmm2 (25)

abc: 5.2842 5.2768 13.2860
angles: 90.00 90.00 90.00
Element x y z (fractional)
Hg 0.0000 0.5000 0.5624
Hg 0.0000 0.0000 0.4383
Hg 0.5000 0.0000 0.9424
Rb 0.5000 0.5000 0.3568
Rb 0.0000 0.5000 0.8523
Rb 0.0000 0.0000 0.1461
Rb 0.5000 0.0000 0.6458
Cd 0.5000 0.5000 0.0559

***

For reference, calculated formation energy by record: -173, -132, -55, -74, -59, -25, -104, -188 meV per atom.